Record 1
PBE Tb10Bi3Te3, relaxed; energy relative to the elements, uncorrected = -13.5 eV/f.u.; total DFT energy (no corrections) = -5.05 eV/atom; V = 28.4 Å³ per atom; symmetry = P-62m (189)
1.0
-4.5151 -4.1289 -1.3880
6.1369 -6.7845 0.2186
-4.4930 2.3526 7.6169
Tb Bi Te
10 3 3
Cartesian
1.4695 -4.7667 2.3391
-2.0738 -1.7210 4.8052
-4.3407 -3.7940 4.1083
-0.7974 -6.8397 1.6422
-5.6256 -0.3008 5.0158
2.3429 -7.1502 -0.5301
-1.8459 -3.1740 1.2678
-1.1242 0.5887 1.9059
1.5356 -1.6976 0.0547
1.2326 -3.3229 5.8749
-4.0021 -1.1510 2.2635
0.1253 -4.6987 -0.6091
-1.2519 -4.7755 4.0991
-2.7618 1.4462 4.6821
3.7724 -4.1704 0.1344
0.6334 -1.7076 3.0190

Record 2
PBE FeCuP2, relaxed; total DFT energy (no corrections) = -5.86 eV/atom; ΔE_f = -19 meV per atom; V = 12.8 Å³ per atom; symmetry = Pmmm (47)
1.0
2.6603 0.0000 0.0000
0.0000 2.7655 -0.0494
0.0000 0.1319 6.9508
Cu Fe P
1 1 2
Cartesian
1.3302 0.7243 1.7254
1.3302 2.1730 5.1761
0.0000 0.8152 6.6141
0.0000 0.7653 3.7875

Record 3
PBE YSc2Cr, relaxed; total DFT energy (no corrections) = -6.84 eV/atom; ΔE_f = 345 meV per atom; V = 23.6 Å³ per atom; symmetry = Cmmm (65); distance to the lowest polymorph of the same formula = 167.2 meV/atom
1.0
-0.8319 -0.2866 5.3363
-0.6797 -4.9869 -1.9799
3.2740 -0.6354 0.4763
Cr Sc Y
1 2 1
Cartesian
1.2971 -2.8111 -0.7518
0.0000 0.0000 0.0000
-0.7558 -2.6367 1.6782
1.2210 -0.4610 2.9063